# 1
The following is a DFT calculation (GGA-PBEsol) of a geometry-optimized RbAs2OsBr structure.

a b c (Å): 5.4978 5.4978 5.5914
angles (deg): 90.00 90.00 90.00
Fractional positions:
As1 0.0000 0.5000 0.0000
As2 0.5000 0.0000 0.0000
Os1 0.5000 0.5000 0.5000
Br1 0.0000 0.0000 0.5000
Rb1 0.0000 0.0000 0.0000

Calculated values
Space-group type: P4/mmm
Uncorrected formation energy, eV per formula unit: 12.71
Magnetization, μB/f.u.: 3.0

=====

# 2
The following is a DFT calculation (GGA-PBEsol) of a geometry-optimized As2OsSeBr structure.

a b c (Å): 4.8519 4.9102 4.9102
angles (deg): 90.00 90.00 90.00
Fractional positions:
As1 0.0000 0.0000 0.5000
As2 0.0000 0.5000 0.0000
Os1 0.5000 0.5000 0.5000
Se1 0.0000 0.0000 0.0000
Br1 0.5000 0.0000 0.0000

Calculated values
Space-group type: P4/mmm
Uncorrected formation energy, eV per formula unit: 9.04
Magnetization, μB/f.u.: 2.3

=====

# 3
The following is a DFT calculation (GGA-PBEsol) of a geometry-optimized As2OsSeBr structure.

a b c (Å): 4.7135 4.7135 5.0271
angles (deg): 90.00 90.00 90.00
Fractional positions:
As1 0.0000 0.5000 0.0000
As2 0.5000 0.0000 0.0000
Os1 0.0000 0.0000 0.0000
Se1 0.5000 0.5000 0.5000
Br1 0.0000 0.0000 0.5000

Calculated values
Space-group type: P4/mmm
Uncorrected formation energy, eV per formula unit: 3.23
Magnetization, μB/f.u.: 0.0

=====

# 4
The following is a DFT calculation (GGA-PBEsol) of a geometry-optimized SiAs2OsBr structure.

a b c (Å): 4.5230 4.9857 4.9857
angles (deg): 90.00 90.00 90.00
Fractional positions:
As1 0.0000 0.0000 0.5000
As2 0.0000 0.5000 0.0000
Os1 0.5000 0.0000 0.0000
Si1 0.5000 0.5000 0.5000
Br1 0.0000 0.0000 0.0000

Calculated values
Space-group type: P4/mmm
Uncorrected formation energy, eV per formula unit: 9.91
Magnetization, μB/f.u.: 0.0

=====

# 5
The following is a DFT calculation (GGA-PBEsol) of a geometry-optimized SrAsOsBr2 structure.

a b c (Å): 5.5760 5.5760 6.1129
angles (deg): 90.00 90.00 90.00
Fractional positions:
Sr1 0.0000 0.0000 0.0000
As1 0.0000 0.0000 0.5000
Os1 0.5000 0.5000 0.5000
Br1 0.0000 0.5000 0.0000
Br2 0.5000 0.0000 0.0000

Calculated values
Space-group type: P4/mmm
Uncorrected formation energy, eV per formula unit: 5.99
Magnetization, μB/f.u.: 5.4

=====

# 6
The following is a DFT calculation (GGA-PBEsol) of a geometry-optimized TaAsOsBr2 structure.

a b c (Å): 4.6771 4.9498 4.9498
angles (deg): 90.00 90.00 90.00
Fractional positions:
As1 0.5000 0.0000 0.0000
Os1 0.0000 0.0000 0.0000
Br1 0.0000 0.0000 0.5000
Br2 0.0000 0.5000 0.0000
Ta1 0.5000 0.5000 0.5000

Calculated values
Space-group type: P4/mmm
Uncorrected formation energy, eV per formula unit: 7.17
Magnetization, μB/f.u.: 2.6

=====

# 7
The following is a DFT calculation (GGA-PBEsol) of a geometry-optimized TcAs2OsBr structure.

a b c (Å): 4.6809 4.6809 4.9396
angles (deg): 90.00 90.00 90.00
Fractional positions:
As1 0.0000 0.5000 0.0000
As2 0.5000 0.0000 0.0000
Os1 0.5000 0.5000 0.5000
Tc1 0.0000 0.0000 0.0000
Br1 0.0000 0.0000 0.5000

Calculated values
Space-group type: P4/mmm
Uncorrected formation energy, eV per formula unit: 7.80
Magnetization, μB/f.u.: 2.7

=====

# 8
The following is a DFT calculation (GGA-PBEsol) of a geometry-optimized As2PBr structure.

a b c (Å): 3.5569 3.5569 7.5607
angles (deg): 76.40 76.40 60.00
Fractional positions:
P1 0.5000 0.5000 0.5000
As1 0.2351 0.2351 0.2948
As2 0.7649 0.7649 0.7052
Br1 0.0000 0.0000 0.0000

Calculated values
Space-group type: R-3m
Uncorrected formation energy, eV per formula unit: 0.69
Magnetization, μB/f.u.: 0.0

=====

Which value of magnetization does entry 2 give?
2.3 μB/f.u.

=====

Which of these has the lowest uncorrected formation energy?
As2PBr

=====

Look up the magnetization of the third one.
0.0 μB/f.u.

=====

Copy entry 8 word for word.
The following is a DFT calculation (GGA-PBEsol) of a geometry-optimized As2PBr structure.

a b c (Å): 3.5569 3.5569 7.5607
angles (deg): 76.40 76.40 60.00
Fractional positions:
P1 0.5000 0.5000 0.5000
As1 0.2351 0.2351 0.2948
As2 0.7649 0.7649 0.7052
Br1 0.0000 0.0000 0.0000

Calculated values
Space-group type: R-3m
Uncorrected formation energy, eV per formula unit: 0.69
Magnetization, μB/f.u.: 0.0